Computed, not measured: LiCoTe2AuSe after structural relaxation at the PBE level of DFT.

a = 7.062 Å, b = 7.062 Å, c = 10.294 Å
α = 90.00°, β = 90.00°, γ = 149.60°
Fractional positions:
Li (0.210, 0.790, 0.750)
Li (0.790, 0.210, 0.250)
Co (0.500, 0.500, 0.000)
Co (0.500, 0.500, 0.500)
Te (0.128, 0.872, 0.501)
Te (0.128, 0.872, 0.999)
Te (0.872, 0.128, 0.001)
Te (0.872, 0.128, 0.499)
Au (0.144, 0.856, 0.250)
Au (0.856, 0.144, 0.750)
Se (0.452, 0.548, 0.250)
Se (0.548, 0.452, 0.750)

E_tot ... -3.8640 eV/atom
Crystal system ... orthorhombic


Computed, not measured: PrMg after structural relaxation at the PBE level of DFT.

a = 5.507 Å, b = 13.723 Å, c = 6.287 Å
α = 90.00°, β = 90.00°, γ = 90.00°
Fractional positions:
Pr (0.250, 0.006, 0.159)
Pr (0.250, 0.124, 0.648)
Pr (0.250, 0.376, 0.648)
Pr (0.250, 0.494, 0.159)
Pr (0.750, 0.506, 0.841)
Pr (0.750, 0.624, 0.352)
Pr (0.750, 0.876, 0.352)
Pr (0.750, 0.994, 0.841)
Mg (0.250, 0.250, 0.151)
Mg (0.250, 0.633, 0.673)
Mg (0.250, 0.750, 0.137)
Mg (0.250, 0.867, 0.673)
Mg (0.750, 0.133, 0.327)
Mg (0.750, 0.250, 0.863)
Mg (0.750, 0.367, 0.327)
Mg (0.750, 0.750, 0.849)

E_tot ... -3.1362 eV/atom
Crystal system ... orthorhombic
Energy above the lowest structure with this stoichiometry ... 0.142 eV per atom


Computed, not measured: Ni5Bi2 after structural relaxation at the PBE level of DFT.

a = 7.219 Å, b = 7.219 Å, c = 6.348 Å
α = 115.73°, β = 115.73°, γ = 45.21°
Fractional positions:
Ni (0.023, 0.523, 0.804)
Ni (0.113, 0.113, 0.833)
Ni (0.250, 0.750, 0.000)
Ni (0.363, 0.363, 0.604)
Ni (0.477, 0.977, 0.196)
Ni (0.523, 0.023, 0.804)
Ni (0.637, 0.637, 0.396)
Ni (0.750, 0.250, 0.000)
Ni (0.887, 0.887, 0.167)
Ni (0.977, 0.477, 0.196)
Bi (0.122, 0.122, 0.409)
Bi (0.400, 0.400, 0.207)
Bi (0.600, 0.600, 0.793)
Bi (0.878, 0.878, 0.591)

E_tot ... -5.0506 eV/atom
Crystal system ... monoclinic